Computed, not measured: a geometry-optimized MnSi3F structure at the PBE with a Hubbard U level of DFT.

a b c (Å): 4.3738 4.3738 4.3738
angles (deg): 90.00 90.00 90.00
With the nearest neighbours (Å) after each atom.
Space group Pm-3m (No. 221)
Unique sites:
Mn 0.0000 0.0000 0.0000 x1  12 Si 3.09
Si 0.0000 0.5000 0.5000 x3  2 F 2.19
F 0.5000 0.5000 0.5000 x1  6 Si 2.19

- DOS(E_F): 0.338 states/eV/atom
- E: -4.726 eV per atom
- E above lowest polymorph: 1.06 eV per formula unit